A relaxed structure of LaTbCo. Source: Alexandria via LeMat-Bulk, functional GGA-PBE.

Values from the calculation:
E_tot = -16.78 eV/cell
polymorph energy (0 for the lowest one) = 100 meV/atom

Cell: 7.001 7.001 7.001 Å, 151.53 151.53 40.70°
Element x y z (fractional)
La: 0.000 0.000 0.000
Tb: 0.250 0.250 0.000
Co: 0.633 0.633 0.000